(1)
Tl2CdP: optimized geometry, GGA-PBE.

Lattice parameters (Å, degrees): 7.717 7.717 7.717 151.74 149.95 41.72
Fractional coordinates of all 4 atoms:
Tl1 0.175 0.175 0.000
Tl2 0.825 0.825 0.000
Cd1 0.500 0.000 0.500
P1 0.000 0.500 0.500

## Properties
E: -2.630 eV/atom
energy of formation from the pure elements: 52 kJ/mol of formula units
crystal system: orthorhombic
magnetization: 0.00 Bohr magnetons per cell
N(E_F): 1.78 states/eV per cell

=====

(2)
LiMg3Si: optimized geometry, GGA-PBE.

Lattice parameters (Å, degrees): 5.078 5.078 5.078 90.00 90.00 90.00
Fractional coordinates of all 5 atoms:
Li1 0.000 0.000 0.000
Mg1 0.000 0.500 0.500
Mg2 0.500 0.000 0.500
Mg3 0.500 0.500 0.000
Si1 0.500 0.500 0.500

## Properties
uncorrected formation energy: 1.18 eV/f.u.
E: -2.189 eV/atom
crystal system: cubic
magnetization: 0.00 Bohr magnetons per cell
N(E_F): 3.20 states/eV per cell

=====

(3)
Hg2PtBr: optimized geometry, GGA-PBE.

Lattice parameters (Å, degrees): 3.863 3.863 7.417 90.00 90.00 90.00
Fractional coordinates of all 4 atoms:
Hg1 0.000 0.000 0.000
Hg2 0.500 0.500 0.363
Pt1 0.000 0.000 0.357
Br1 0.500 0.500 0.825

## Properties
uncorrected formation energy: 0.35 eV/f.u.
E: -1.991 eV/atom
crystal system: tetragonal
magnetization: 0.00 Bohr magnetons per cell
N(E_F): 1.35 states/eV per cell

=====

(4)
InHgRu2: optimized geometry, GGA-PBE.

Lattice parameters (Å, degrees): 5.408 5.408 4.863 110.35 110.35 31.74
Fractional coordinates of all 4 atoms:
In1 0.000 0.000 0.000
Hg1 0.781 0.781 0.389
Ru1 0.244 0.244 0.867
Ru2 0.538 0.538 0.518

## Properties
E: -5.040 eV/atom
energy of formation from the pure elements: 138 kJ/mol of formula units
crystal system: monoclinic
magnetization: 0.65 Bohr magnetons per cell
N(E_F): 4.74 states/eV per cell